A plane-wave DFT calculation with PBE with a Hubbard U was carried out for a geometry-optimized K3CaMo2O8 structure.

a b c (Å): 6.1670 6.1670 7.7566
angles (deg): 90.00 90.00 120.00
With the nearest neighbours (Å) after each atom.
Fractional coordinates of all 14 atoms:
O: 0.3474 0.1737 0.6856  1 Mo 1.84
O: 0.1737 0.3474 0.3144  1 Mo 1.84
O: 0.1737 0.8263 0.3144  1 Mo 1.84
O: 0.3333 0.6667 0.9928  1 Mo 1.79
O: 0.6526 0.8263 0.3144  1 Mo 1.84
O: 0.6667 0.3333 0.0072  1 Mo 1.79
O: 0.8263 0.1737 0.6856  1 Mo 1.84
O: 0.8263 0.6526 0.6856  1 Mo 1.84
K: 0.3333 0.6667 0.6649  1 O 2.54
K: 0.6667 0.3333 0.3351  1 O 2.54
K: 0.0000 0.0000 0.0000  6 O 3.06
Mo: 0.6667 0.3333 0.7761  4 O 1.79-1.84
Mo: 0.3333 0.6667 0.2239  4 O 1.79-1.84
Ca: 0.0000 0.0000 0.5000  6 O 2.35

ρ in g/cm³: 3.102
Spin magnetization in μB/cell: 1.00
Symmetry: P-3m1
Calculated total energy in eV for the cell shown: -86.52

A plane-wave DFT calculation with PBE with a Hubbard U was carried out for a geometry-optimized K2CaMoO structure.

a b c (Å): 5.9300 4.5049 5.9300
angles (deg): 90.00 90.00 90.00
With the nearest neighbours (Å) after each atom.
Fractional coordinates of all 5 atoms:
Mo: 0.5000 0.5000 0.5000  8 K 3.72
Ca: 0.0000 0.5000 0.0000  2 O 2.25
K: 0.0000 0.0000 0.5000  2 O 2.96
K: 0.5000 0.0000 0.0000  2 O 2.96
O: 0.0000 0.0000 0.0000  2 Ca 2.25

ρ in g/cm³: 2.413
Spin magnetization in μB/cell: 5.42
Symmetry: P4/mmm
Calculated total energy in eV for the cell shown: -17.71

A plane-wave DFT calculation with PBE with a Hubbard U was carried out for a geometry-optimized KCaMo2O8 structure.

a b c (Å): 6.4897 6.4897 6.4897
angles (deg): 106.36 106.36 115.90
With the nearest neighbours (Å) after each atom.
Fractional coordinates of all 12 atoms:
O: 0.9162 0.2386 0.3224  1 Mo 1.79
O: 0.4573 0.6483 0.8089  1 Mo 1.80
O: 0.3517 0.1606 0.8089  1 Mo 1.80
O: 0.4061 0.0838 0.3224  1 Mo 1.79
O: 0.8394 0.6483 0.1911  1 Mo 1.80
O: 0.9162 0.5939 0.6776  1 Mo 1.79
O: 0.3517 0.5427 0.1911  1 Mo 1.80
O: 0.7614 0.0838 0.6776  1 Mo 1.79
K: 0.0000 0.0000 0.0000  8 O 2.57-2.84
Ca: 0.2500 0.7500 0.5000  8 O 2.50-2.68
Mo: 0.5000 0.5000 0.0000  4 O 1.80
Mo: 0.7500 0.2500 0.5000  4 O 1.79

ρ in g/cm³: 3.180
Spin magnetization in μB/cell: 1.11
Symmetry: I-4m2
Calculated total energy in eV for the cell shown: -78.40

A plane-wave DFT calculation with PBE with a Hubbard U was carried out for a geometry-optimized K2CaMoO4 structure.

a b c (Å): 5.7891 5.7891 5.7891
angles (deg): 98.64 115.14 115.14
With the nearest neighbours (Å) after each atom.
Fractional coordinates of all 8 atoms:
O: 0.4094 0.8221 0.7268  1 Mo 1.92
O: 0.0953 0.2732 0.6826  1 Mo 1.92
O: 0.9047 0.5873 0.1779  1 Mo 1.92
O: 0.5906 0.3174 0.4127  1 Mo 1.92
Mo: 0.0000 0.5000 0.5000  4 O 1.92
K: 0.0000 0.0000 0.0000  4 O 2.68
K: 0.5000 0.7500 0.2500  8 O 2.97-3.02
Ca: 0.5000 0.2500 0.7500  4 O 2.27

ρ in g/cm³: 3.176
Spin magnetization in μB/cell: 0.05
Symmetry: I-4
Calculated total energy in eV for the cell shown: -46.14

A plane-wave DFT calculation with PBE with a Hubbard U was carried out for a geometry-optimized K3Ca2MoO6 structure.

a b c (Å): 5.9094 5.9094 6.4438
angles (deg): 98.67 98.67 120.47
With the nearest neighbours (Å) after each atom.
Fractional coordinates of all 12 atoms:
Mo: 0.0000 0.0000 0.0000  6 O 1.98-2.09
O: 0.0633 0.3589 0.1869  1 Mo 2.09
O: 0.9367 0.6411 0.8131  1 Mo 2.09
O: 0.6411 0.9367 0.8131  1 Mo 2.09
O: 0.3589 0.0633 0.1869  1 Mo 2.09
O: 0.7792 0.7792 0.1794  1 Mo 1.98
O: 0.2208 0.2208 0.8206  1 Mo 1.98
K: 0.5000 0.5000 0.5000  4 O 2.68
K: 0.8309 0.1691 0.5000  6 O 2.68-2.90
K: 0.1691 0.8309 0.5000  6 O 2.68-2.90
Ca: 0.3302 0.6698 0.0000  6 O 2.36-2.43
Ca: 0.6698 0.3302 0.0000  6 O 2.36-2.43

ρ in g/cm³: 3.499
Spin magnetization in μB/cell: 1.00
Symmetry: C2/m
Calculated total energy in eV for the cell shown: -69.35

Which of these has the lowest calculated total energy?
K3CaMo2O8